(1)
10
Lattice="3.5002 0.0000 0.0000 0.0000 3.5002 0.0000 0.0000 0.0000 17.0399" Properties=species:S:1:pos:R:3 comment="Mg5ZnCd4 PBE optimized geometry" dft_energy_ev_per_atom=-1.37 sg=P4/mmm n_ef_per_ev_cell=3.1 pbc="T T T"
Mg 0.0000 0.0000 0.0000
Mg 0.0000 0.0000 3.4995
Mg 0.0000 0.0000 7.0002
Mg 0.0000 0.0000 10.0397
Mg 0.0000 0.0000 13.5404
Zn 1.7501 1.7501 8.5200
Cd 1.7501 1.7501 1.7431
Cd 1.7501 1.7501 5.2664
Cd 1.7501 1.7501 11.7735
Cd 1.7501 1.7501 15.2968

***

(2)
24
Lattice="8.9282 0.0000 0.0000 0.0000 8.9282 0.0000 0.0000 0.0000 5.0880" Properties=species:S:1:pos:R:3 comment="Mg2Zn9Cd PBE optimized geometry" dft_energy_ev_per_atom=-1.33 sg=P4/mbm n_ef_per_ev_cell=5.2 pbc="T T T"
Mg 1.0929 3.3712 0.0000
Mg 3.3712 7.8353 0.0000
Mg 5.5570 1.0929 0.0000
Mg 7.8353 5.5570 0.0000
Zn 0.0000 4.4641 2.5440
Zn 0.5507 1.8079 2.5440
Zn 1.5816 6.0457 1.2301
Zn 1.5816 6.0457 3.8579
Zn 1.8079 8.3774 2.5440
Zn 2.6562 3.9134 2.5440
Zn 2.8825 1.5816 1.2301
Zn 2.8825 1.5816 3.8579
Zn 3.9134 6.2720 2.5440
Zn 4.4641 0.0000 2.5440
Zn 5.0148 2.6562 2.5440
Zn 6.0457 7.3466 1.2301
Zn 6.0457 7.3466 3.8579
Zn 6.2720 5.0148 2.5440
Zn 7.1203 0.5507 2.5440
Zn 7.3466 2.8825 1.2301
Zn 7.3466 2.8825 3.8579
Zn 8.3774 7.1203 2.5440
Cd 0.0000 0.0000 0.0000
Cd 4.4641 4.4641 0.0000

***

(3)
4
Lattice="3.1810 0.0000 0.0000 0.0000 3.1810 0.0000 0.0000 0.0000 8.1099" Properties=species:S:1:pos:R:3 comment="Mg2ZnCd PBE optimized geometry" dft_energy_ev_per_atom=-1.36 sg=P4mm n_ef_per_ev_cell=1.2 polymorph_energy_ev_per_atom=0.069 pbc="T T T"
Mg 0.0000 0.0000 0.0000
Mg 1.5905 1.5905 2.3107
Zn 0.0000 0.0000 4.0911
Cd 1.5905 1.5905 5.9644

***

(4)
12
Lattice="2.6111 1.5075 8.5436 -2.6111 1.5075 8.5436 0.0000 -3.0150 8.5436" Properties=species:S:1:pos:R:3 comment="Mg3Zn8Cd PBE optimized geometry" dft_energy_ev_per_atom=-1.40 sg=R3m n_ef_per_ev_cell=3.1 pbc="T T T"
Mg 0.0000 0.0000 0.0000
Mg 0.0000 0.0000 3.1831
Mg 0.0000 0.0000 16.0083
Zn -1.3125 -0.7578 10.1120
Zn 0.0000 -1.5098 5.8818
Zn -1.3075 0.7549 5.8818
Zn 0.0000 0.0000 7.9953
Zn 1.3125 -0.7578 10.1120
Zn 0.0000 1.5156 10.1120
Zn 1.3075 0.7549 5.8818
Zn 0.0000 0.0000 20.8048
Cd 0.0000 0.0000 12.7737

***

(5)
6
Lattice="0.0000 4.0742 4.0742 4.0742 0.0000 4.0742 4.0742 4.0742 0.0000" Properties=species:S:1:pos:R:3 comment="Mg4ZnCd PBE optimized geometry" dft_energy_ev_per_atom=-1.28 sg=F-43m n_ef_per_ev_cell=1.8 polymorph_energy_ev_per_atom=0.193 pbc="T T T"
Mg 1.0183 1.0183 1.0183
Mg 3.0559 3.0559 1.0183
Mg 3.0559 1.0183 3.0559
Mg 1.0183 3.0559 3.0559
Zn 6.1112 6.1112 6.1112
Cd 4.0742 4.0742 4.0742

***

(6)
9
Lattice="0.0000 4.4254 4.4254 4.4254 0.0000 4.4254 4.4254 4.4254 0.0000" Properties=species:S:1:pos:R:3 comment="Mg2Zn6Cd PBE optimized geometry" dft_energy_ev_per_atom=-1.19 sg=Fm-3m n_ef_per_ev_cell=2.6 pbc="T T T"
Mg 2.2127 2.2127 2.2127
Mg 6.6381 6.6381 6.6381
Zn 4.4254 4.4254 1.8524
Zn 4.4254 1.8524 4.4254
Zn 6.9984 4.4254 4.4254
Zn 1.8524 4.4254 4.4254
Zn 4.4254 6.9984 4.4254
Zn 4.4254 4.4254 6.9984
Cd 4.4254 4.4254 4.4254

***

(7)
28
Lattice="8.0644 0.0000 0.0000 0.0000 5.4212 0.0000 0.0000 0.0000 11.0870" Properties=species:S:1:pos:R:3 comment="MgZn5Cd PBE optimized geometry" dft_energy_ev_per_atom=-1.28 sg=Pnma n_ef_per_ev_cell=6.5 pbc="T T T"
Mg 2.0061 1.3553 0.6397
Mg 2.0261 4.0659 6.1832
Mg 6.0383 1.3553 4.9038
Mg 6.0583 4.0659 10.4473
Zn 0.5317 0.0471 3.5585
Zn 0.5317 2.6635 3.5585
Zn 0.5299 4.0659 1.1141
Zn 0.8581 1.3553 5.7867
Zn 1.5015 1.3553 8.3532
Zn 2.5307 4.0659 2.8097
Zn 3.1741 4.0659 0.2432
Zn 3.5023 1.3553 6.6576
Zn 3.5005 2.7577 9.1020
Zn 3.5005 5.3741 9.1020
Zn 4.5639 0.0471 1.9850
Zn 4.5639 2.6635 1.9850
Zn 4.5621 4.0659 4.4294
Zn 4.8903 1.3553 10.8438
Zn 5.5337 1.3553 8.2773
Zn 6.5629 4.0659 2.7338
Zn 7.2063 4.0659 5.3003
Zn 7.5345 1.3553 9.9729
Zn 7.5327 2.7577 7.5285
Zn 7.5327 5.3741 7.5285
Cd 0.9507 4.0659 9.5414
Cd 3.0815 1.3553 3.9979
Cd 4.9829 4.0659 7.0891
Cd 7.1137 1.3553 1.5456

***

(8)
14
Lattice="4.9369 -3.4342 0.0000 4.9369 3.4342 0.0000 -4.2681 0.0000 9.6207" Properties=species:S:1:pos:R:3 comment="Mg5ZnCd PBE optimized geometry" dft_energy_ev_per_atom=-1.38 sg=C2/c n_ef_per_ev_cell=6.1 polymorph_energy_ev_per_atom=0.093 pbc="T T T"
Mg 3.8435 2.4466 0.0987
Mg -0.9189 0.7362 7.2562
Mg 1.7359 2.2390 7.2155
Mg 3.8963 2.4466 4.7116
Mg 1.2152 -0.7362 2.4459
Mg 4.3906 0.7362 7.1748
Mg 1.7095 -2.4466 4.9091
Mg 3.8699 -2.2390 2.4052
Mg 6.5246 -0.7362 2.3645
Mg 1.7623 -2.4466 9.5220
Zn 0.3344 1.7171 4.8103
Zn 2.4685 -1.7171 0.0000
Cd 3.8699 0.6561 2.4052
Cd 1.7359 -0.6561 7.2155

***

(9)
4
Lattice="0.0000 3.4125 3.4125 3.4125 0.0000 3.4125 3.4125 3.4125 0.0000" Properties=species:S:1:pos:R:3 comment="Mg2ZnCd PBE optimized geometry" dft_energy_ev_per_atom=-1.41 sg=Fm-3m n_ef_per_ev_cell=1.4 polymorph_energy_ev_per_atom=0.021 pbc="T T T"
Mg 1.7063 1.7063 1.7063
Mg 5.1188 5.1188 5.1188
Zn 0.0000 0.0000 0.0000
Cd 3.4125 3.4125 3.4125

***

(10)
6
Lattice="3.1361 0.0000 0.0000 0.0000 4.8319 0.0000 0.0000 0.0000 8.3735" Properties=species:S:1:pos:R:3 comment="Mg2ZnCd3 PBE optimized geometry" dft_energy_ev_per_atom=-1.24 sg=Pmm2 n_ef_per_ev_cell=1.8 pbc="T T T"
Mg 0.0000 0.0000 0.0000
Mg 0.0000 2.4159 4.0256
Zn 1.5681 0.0000 2.6622
Cd 1.5681 0.0000 5.3681
Cd 1.5681 2.4159 1.3978
Cd 1.5681 2.4159 6.9022

***

(11)
8
Lattice="5.8839 0.0000 0.0000 0.0000 4.6484 0.0000 -0.2050 0.0000 5.8958" Properties=species:S:1:pos:R:3 comment="Mg2ZnCd PBE optimized geometry" dft_energy_ev_per_atom=-1.41 sg=P2_1/m n_ef_per_ev_cell=2.7 polymorph_energy_ev_per_atom=0.021 pbc="T T T"
Mg 0.6448 1.1621 2.0815
Mg 1.9368 1.1621 5.1758
Mg 3.7421 3.4863 0.7200
Mg 5.0340 3.4863 3.8143
Zn 0.7862 3.4863 0.3425
Zn 4.8927 1.1621 5.5533
Cd 2.0011 3.4863 3.2840
Cd 3.6777 1.1621 2.6118

***

(12)
6
Lattice="3.1003 0.0000 0.0000 0.0000 3.1003 0.0000 0.0000 0.0000 12.0753" Properties=species:S:1:pos:R:3 comment="Mg3Zn2Cd PBE optimized geometry" dft_energy_ev_per_atom=-1.45 sg=P4/mmm n_ef_per_ev_cell=2.1 polymorph_energy_ev_per_atom=0.000 pbc="T T T"
Mg 0.0000 0.0000 0.0000
Mg 0.0000 0.0000 3.7896
Mg 0.0000 0.0000 8.2856
Zn 1.5502 1.5502 1.9095
Zn 1.5502 1.5502 10.1657
Cd 1.5502 1.5502 6.0376

***

Number 1: calculated volume 209 Å³/f.u., energy relative to the elements -0.082 eV per atom, size of the total moment 0.0 μB per formula unit. Number 2: calculated volume 203 Å³/f.u., energy relative to the elements -0.036 eV per atom, size of the total moment 0.0 μB per formula unit. Number 3: calculated volume 82 Å³/f.u., energy relative to the elements -0.019 eV per atom, size of the total moment 0.0 μB per formula unit. Number 4: calculated volume 202 Å³/f.u., energy relative to the elements -0.080 eV per atom, size of the total moment 0.0 μB per formula unit. Number 5: calculated volume 135 Å³/f.u., energy relative to the elements 0.144 eV per atom, size of the total moment 0.0 μB per formula unit. Number 6: calculated volume 173 Å³/f.u., energy relative to the elements 0.116 eV per atom, size of the total moment 0.0 μB per formula unit. Number 7: calculated volume 121 Å³/f.u., energy relative to the elements -0.016 eV per atom, size of the total moment 0.0 μB per formula unit. Number 8: calculated volume 163 Å³/f.u., energy relative to the elements 0.075 eV per atom, size of the total moment 0.0 μB per formula unit. Number 9: calculated volume 79 Å³/f.u., energy relative to the elements -0.067 eV per atom, size of the total moment 0.0 μB per formula unit. Number 10: calculated volume 127 Å³/f.u., energy relative to the elements -0.041 eV per atom, size of the total moment 0.0 μB per formula unit. Number 11: calculated volume 81 Å³/f.u., energy relative to the elements -0.067 eV per atom, size of the total moment 0.0 μB per formula unit. Number 12: calculated volume 116 Å³/f.u., energy relative to the elements -0.074 eV per atom, size of the total moment 0.0 μB per formula unit.